Entry 1:
## NaLi2Y (PBE)

Data for a geometry-optimized NaLi2Y structure.

Its space group is I-42d (122). The calculation puts the formation energy at 0.355 eV per atom. The calculation puts the energy above the lowest structure with this stoichiometry at 0.233 eV per atom.

```
NaLi2Y
1.0
8.1015 0.0000 0.0000
0.0000 8.1015 0.0000
0.0000 0.0000 6.5566
Na Li Y
4 8 4
direct
0.0000 0.0000 0.0000
0.0000 0.5000 0.2500
0.5000 0.0000 0.7500
0.5000 0.5000 0.5000
0.2218 0.2500 0.1250
0.2500 0.7218 0.3750
0.2500 0.7782 0.8750
0.2782 0.2500 0.6250
0.7218 0.7500 0.6250
0.7500 0.2218 0.8750
0.7500 0.2782 0.3750
0.7782 0.7500 0.1250
0.0000 0.0000 0.5000
0.0000 0.5000 0.7500
0.5000 0.0000 0.2500
0.5000 0.5000 0.0000
```

=====

Entry 2:
## LiHgPb (PBE)

Data for a geometry-optimized LiHgPb structure.

Its space group is P-1 (2). The calculation puts the formation energy at -0.198 eV per atom. The calculation puts the energy above the lowest structure with this stoichiometry at 0.016 eV per atom.

```
LiHgPb
1.0
3.4516 0.0000 0.0000
-0.0555 3.5115 0.0000
-0.1886 -0.0890 11.5380
Li Hg Pb
2 2 2
direct
0.2471 0.2519 0.2856
0.7529 0.7481 0.7144
0.2505 0.2476 0.5893
0.7495 0.7524 0.4107
0.2549 0.2499 0.8900
0.7451 0.7501 0.1100
```

=====

Entry 3:
## Tl3TeF7 (PBE)

Data for a geometry-optimized Tl3TeF7 structure.

Its space group is P4/mbm (127). The uncorrected formation energy is -21.19 eV per formula unit.

```
Tl3TeF7
1.0
8.4907 0.0000 0.0000
0.0000 8.4907 0.0000
0.0000 0.0000 6.3040
Tl Te F
6 2 14
direct
0.0000 0.0000 0.0000
0.2053 0.2947 0.5000
0.2947 0.7947 0.5000
0.5000 0.5000 0.0000
0.7053 0.2053 0.5000
0.7947 0.7053 0.5000
0.0000 0.5000 0.0000
0.5000 0.0000 0.0000
0.0000 0.0000 0.5000
0.1191 0.6191 0.2415
0.1191 0.6191 0.7585
0.1741 0.3259 0.0000
0.3259 0.8259 0.0000
0.3809 0.1191 0.2415
0.3809 0.1191 0.7585
0.5000 0.5000 0.5000
0.6191 0.8809 0.2415
0.6191 0.8809 0.7585
0.6741 0.1741 0.0000
0.8259 0.6741 0.0000
0.8809 0.3809 0.2415
0.8809 0.3809 0.7585
```

=====

Entry 4:
## Ti3VSn (PBE)

Data for a geometry-optimized Ti3VSn structure.

Its space group is Pm-3m (221). The calculation puts the formation energy at 1.297 eV per atom. The calculation puts the energy above the lowest structure with this stoichiometry at 1.109 eV per atom.

```
Ti3VSn
1.0
4.9911 0.0000 0.0000
0.0000 4.9911 0.0000
0.0000 0.0000 4.9911
Ti V Sn
3 1 1
direct
0.0000 0.0000 0.5000
0.0000 0.5000 0.0000
0.5000 0.0000 0.0000
0.5000 0.5000 0.5000
0.0000 0.0000 0.0000
```

=====

Ordered total magnetization results: 1.83, 0.00, 0.00, 2.34; unit μB per cell.